1.
AlTe3H: optimized geometry, PBE-GGA.

The electronic total energy is -2.74 eV per atom.

It has space group Pm-3m (No. 221), with a = 4.799 Å, b = 4.799 Å, c = 4.799 Å, α = 90.00°, β = 90.00° and γ = 90.00°. The distinct sites, in fractional coordinates, are Al at (0.000, 0.000, 0.000), Te at (0.000, 0.500, 0.500) and H at (0.500, 0.500, 0.500).

2.
RbCaAg2F: optimized geometry, PBE-GGA.

The calculation puts the formation energy without anion corrections at -89.80 kJ per mole of atoms.

It has space group P4/mmm (No. 123), with a = 6.219 Å, b = 6.219 Å, c = 4.348 Å, α = 90.00°, β = 90.00° and γ = 90.00°. The distinct sites, in fractional coordinates, are Rb at (0.000, 0.000, 0.000), Ca at (0.500, 0.500, 0.500), Ag at (0.000, 0.500, 0.500) and F at (0.500, 0.500, 0.000).

3.
Sc4Al2Ir: optimized geometry, PBE-GGA.

The value obtained for the formation energy is -117 meV/atom.

It has space group I4/mmm (No. 139), with a = 5.037 Å, b = 5.037 Å, c = 13.704 Å, α = 90.00°, β = 90.00° and γ = 90.00°. The distinct sites, in fractional coordinates, are Sc at (0.000, 0.000, 0.183), Sc at (0.000, 0.500, 0.000), Al at (0.000, 0.000, 0.389) and Ir at (0.000, 0.000, 0.000).

4.
Li2Pm2ThBi2: optimized geometry, PBE-GGA.

The value obtained for the formation energy is -335 meV/atom.

It has space group R-3m (No. 166, hexagonal axes), with a = 4.9381 Å, b = 4.9381 Å, c = 27.5500 Å, α = 90.00°, β = 90.00° and γ = 120.00°. The distinct sites, in fractional coordinates, are Li at (0.0000, 0.0000, 0.0956), Pm at (0.0000, 0.0000, 0.3720), Th at (0.0000, 0.0000, 0.5000) and Bi at (0.0000, 0.0000, 0.2346).

5.
LiCuAs2: optimized geometry, PBE-GGA.

The value obtained for the formation energy is -110 meV/atom.

It has space group C2/m (No. 12), with a = 8.275 Å, b = 2.949 Å, c = 5.477 Å, α = 90.00°, β = 105.12° and γ = 90.00°. The distinct sites, in fractional coordinates, are Li at (0.000, 0.000, 0.000), Cu at (0.000, 0.500, 0.500) and As at (0.238, 0.000, 0.748).

6.
LaGdMgRh: optimized geometry, PBE-GGA.

The value obtained for the formation energy is -329 meV/atom.

It has space group F-43m (No. 216), with a = 7.361 Å, b = 7.361 Å, c = 7.361 Å, α = 90.00°, β = 90.00° and γ = 90.00°. The distinct sites, in fractional coordinates, are La at (0.000, 0.000, 0.000), Gd at (0.000, 0.000, 0.500), Mg at (0.250, 0.250, 0.750) and Rh at (0.250, 0.250, 0.250).

7.
CaHf2AgW: optimized geometry, PBE-GGA.

The value obtained for the formation energy is 1406 meV/atom.

It has space group P4/mmm (No. 123), with a = 5.120 Å, b = 5.120 Å, c = 5.081 Å, α = 90.00°, β = 90.00° and γ = 90.00°. The distinct sites, in fractional coordinates, are Ca at (0.000, 0.000, 0.000), Hf at (0.000, 0.500, 0.500), Ag at (0.500, 0.500, 0.500) and W at (0.500, 0.500, 0.000).

8.
Tm6P2PtSe3: optimized geometry, PBE-GGA.

The calculation puts the formation energy without anion corrections at -157.04 kJ per mole of atoms.

It has space group C2/m (No. 12), with a = 17.605 Å, b = 3.962 Å, c = 8.116 Å, α = 90.00°, β = 103.74° and γ = 90.00°. The distinct sites, in fractional coordinates, are Tm at (0.005, 0.000, 0.239), Tm at (0.165, 0.500, 0.097), Tm at (0.172, 0.500, 0.572), P at (0.168, 0.000, 0.336), Pt at (0.000, 0.500, 0.000), Se at (0.000, 0.500, 0.500) and Se at (0.169, 0.000, 0.831).

9.
NaTi2AlO6: optimized geometry, PBE-GGA.

The calculation puts the formation energy without anion corrections at -275.52 kJ per mole of atoms.

It has space group C2/c (No. 15), with a = 9.427 Å, b = 10.916 Å, c = 5.989 Å, α = 90.00°, β = 113.90° and γ = 90.00°. The distinct sites, in fractional coordinates, are Na at (0.000, 0.104, 0.250), Ti at (0.153, 0.417, 0.173), Al at (0.000, 0.190, 0.750), O at (0.089, 0.270, 0.029), O at (0.122, 0.453, 0.458) and O at (0.135, 0.092, 0.699).

10.
CoReB2I: optimized geometry, PBE-GGA.

The calculation puts the formation energy without anion corrections at 165.91 kJ per mole of atoms.

It has space group P4/mmm (No. 123), with a = 3.864 Å, b = 3.864 Å, c = 5.238 Å, α = 90.00°, β = 90.00° and γ = 90.00°. The distinct sites, in fractional coordinates, are Co at (0.000, 0.000, 0.000), Re at (0.500, 0.500, 0.500), B at (0.000, 0.500, 0.000) and I at (0.000, 0.000, 0.500).

11.
TiSeI2: optimized geometry, PBE-GGA.

The calculation puts the formation energy without anion corrections at -67.92 kJ per mole of atoms.

It has space group Cm (No. 8), with a = 13.212 Å, b = 3.532 Å, c = 7.595 Å, α = 90.00°, β = 117.70° and γ = 90.00°. The distinct sites, in fractional coordinates, are Ti at (0.000, 0.000, 0.000), Se at (0.368, 0.000, 0.999), I at (0.016, 0.500, 0.721) and I at (0.165, 0.500, 0.280).

12.
K2AgB: optimized geometry, PBE-GGA.

The value obtained for the formation energy is 549 meV/atom.

It has space group I-42d (No. 122), with a = 12.204 Å, b = 12.204 Å, c = 4.206 Å, α = 90.00°, β = 90.00° and γ = 90.00°. The distinct sites, in fractional coordinates, are K at (0.038, 0.250, 0.125), Ag at (0.000, 0.000, 0.500) and B at (0.000, 0.000, 0.000).

13.
LaGdCoNi: optimized geometry, PBE-GGA.

The value obtained for the formation energy is -148 meV/atom.

It has space group F-43m (No. 216), with a = 6.909 Å, b = 6.909 Å, c = 6.909 Å, α = 90.00°, β = 90.00° and γ = 90.00°. The distinct sites, in fractional coordinates, are La at (0.000, 0.000, 0.000), Gd at (0.000, 0.000, 0.500), Co at (0.250, 0.250, 0.250) and Ni at (0.250, 0.250, 0.750).

14.
Cs2BrCl6F: optimized geometry, PBE-GGA.

The calculation puts the formation energy without anion corrections at -76.88 kJ per mole of atoms.

It has space group I4/mmm (No. 139), with a = 7.378 Å, b = 7.378 Å, c = 10.481 Å, α = 90.00°, β = 90.00° and γ = 90.00°. The distinct sites, in fractional coordinates, are Cs at (0.000, 0.500, 0.250), Br at (0.000, 0.000, 0.000), Cl at (0.000, 0.000, 0.236), Cl at (0.238, 0.238, 0.000) and F at (0.000, 0.000, 0.500).

15.
Tb2DyTl: optimized geometry, PBE-GGA.

The value obtained for the formation energy is -108 meV/atom.

It has space group R3m (No. 160, hexagonal axes), with a = 3.6438 Å, b = 3.6438 Å, c = 32.2649 Å, α = 90.00°, β = 90.00° and γ = 120.00°. The distinct sites, in fractional coordinates, are Tb at (0.0000, 0.0000, 0.0000), Tb at (0.0000, 0.0000, 0.1763), Dy at (0.0000, 0.0000, 0.7548) and Tl at (0.0000, 0.0000, 0.5883).

16.
ThNiHRh2: optimized geometry, PBE-GGA.

The electronic total energy is -6.83 eV per atom.

It has space group P4/mmm (No. 123), with a = 4.163 Å, b = 4.163 Å, c = 4.032 Å, α = 90.00°, β = 90.00° and γ = 90.00°. The distinct sites, in fractional coordinates, are Th at (0.000, 0.000, 0.000), Ni at (0.500, 0.500, 0.000), H at (0.500, 0.500, 0.500) and Rh at (0.000, 0.500, 0.500).

17.
CePu5Ge5: optimized geometry, PBE-GGA.

The value obtained for the formation energy is -253 meV/atom.

It has space group C2/m (No. 12), with a = 15.751 Å, b = 5.571 Å, c = 6.041 Å, α = 90.00°, β = 94.90° and γ = 90.00°. The distinct sites, in fractional coordinates, are Ce at (0.000, 0.000, 0.000), Pu at (0.000, 0.000, 0.500), Pu at (0.140, 0.500, 0.436), Pu at (0.181, 0.500, 0.955), Ge at (0.000, 0.500, 0.000), Ge at (0.168, 0.000, 0.279) and Ge at (0.172, 0.000, 0.715).

18.
LaMgPb: optimized geometry, PBE-GGA.

The value obtained for the formation energy is -392 meV/atom.

It has space group P3m1 (No. 156), with a = 4.9911 Å, b = 4.9911 Å, c = 4.0764 Å, α = 90.00°, β = 90.00° and γ = 120.00°. The distinct sites, in fractional coordinates, are La at (0.0000, 0.0000, 0.0000), Mg at (0.6667, 0.3333, 0.4947) and Pb at (0.3333, 0.6667, 0.5117).

19.
Dy3Ag3RuO8: optimized geometry, PBE-GGA.

The calculation puts the formation energy without anion corrections at -176.29 kJ per mole of atoms.

It has space group C2/m (No. 12), with a = 11.716 Å, b = 6.767 Å, c = 6.945 Å, α = 90.00°, β = 124.41° and γ = 90.00°. The distinct sites, in fractional coordinates, are Dy at (0.000, 0.000, 0.000), Dy at (0.250, 0.250, 0.000), Ag at (0.000, 0.500, 0.500), Ag at (0.250, 0.250, 0.500), Ru at (0.000, 0.500, 0.000), O at (0.012, 0.274, 0.812), O at (0.214, 0.500, 0.188) and O at (0.229, 0.000, 0.187).

20.
Li2ZrPt2: optimized geometry, PBE-GGA.

The value obtained for the formation energy is -652 meV/atom.

It has space group P4/mbm (No. 127), with a = 7.211 Å, b = 7.211 Å, c = 2.880 Å, α = 90.00°, β = 90.00° and γ = 90.00°. The distinct sites, in fractional coordinates, are Li at (0.107, 0.393, 0.000), Zr at (0.000, 0.000, 0.000) and Pt at (0.191, 0.691, 0.500).

21.
Tl2PBr5: optimized geometry, PBE-GGA.

The calculation puts the formation energy without anion corrections at -53.04 kJ per mole of atoms.

It has space group I4mm (No. 107), with a = 7.813 Å, b = 7.813 Å, c = 9.232 Å, α = 90.00°, β = 90.00° and γ = 90.00°. The distinct sites, in fractional coordinates, are Tl at (0.000, 0.500, 0.000), P at (0.000, 0.000, 0.261), Br at (0.000, 0.000, 0.016) and Br at (0.235, 0.235, 0.277).

22.
MgZrOs: optimized geometry, PBE-GGA.

The value obtained for the formation energy is -141 meV/atom.

It has space group I4mm (No. 107), with a = 3.345 Å, b = 3.345 Å, c = 10.172 Å, α = 90.00°, β = 90.00° and γ = 90.00°. The distinct sites, in fractional coordinates, are Mg at (0.000, 0.000, 0.000), Zr at (0.000, 0.000, 0.291) and Os at (0.000, 0.000, 0.657).

23.
Tb5SnSe4: optimized geometry, PBE-GGA.

The calculation puts the formation energy without anion corrections at -152.70 kJ per mole of atoms.

It has space group I4/m (No. 87), with a = 9.327 Å, b = 9.327 Å, c = 5.889 Å, α = 90.00°, β = 90.00° and γ = 90.00°. The distinct sites, in fractional coordinates, are Tb at (0.000, 0.000, 0.000), Tb at (0.100, 0.305, 0.500), Sn at (0.000, 0.000, 0.500) and Se at (0.103, 0.300, 0.000).

24.
SrLiAg2Cl8: optimized geometry, PBE-GGA.

The calculation puts the formation energy without anion corrections at -91.00 kJ per mole of atoms.

It has space group I-4 (No. 82), with a = 6.799 Å, b = 6.799 Å, c = 13.611 Å, α = 90.00°, β = 90.00° and γ = 90.00°. The distinct sites, in fractional coordinates, are Sr at (0.000, 0.000, 0.000), Li at (0.000, 0.500, 0.250), Ag at (0.000, 0.000, 0.500), Ag at (0.000, 0.500, 0.750), Cl at (0.139, 0.306, 0.447) and Cl at (0.170, 0.801, 0.800).

25.
Ba3Cd2Hg9: optimized geometry, PBE-GGA.

The value obtained for the formation energy is -367 meV/atom.

It has space group Immm (No. 71), with a = 5.257 Å, b = 10.246 Å, c = 15.284 Å, α = 90.00°, β = 90.00° and γ = 90.00°. The distinct sites, in fractional coordinates, are Ba at (0.000, 0.000, 0.000), Ba at (0.000, 0.000, 0.288), Cd at (0.000, 0.169, 0.500), Hg at (0.000, 0.291, 0.142), Hg at (0.000, 0.355, 0.348) and Hg at (0.000, 0.500, 0.000).